[1]
VASP calculation (GGA-PBE) on a relaxed structure of ScTi2AsOs.

## Properties
The total energy comes out at -7.133 eV per atom. As for the magnetization: 0.000 μB per atom. Its volume is 20.2 A^3/atom. The value obtained for the energy relative to the elements is 10.779 kcal/mol of atoms. Its crystal system is tetragonal. As for the space-group type: P4/mmm.

Cell: 4.575 4.833 4.575 Å, 90.00 90.00 90.00°
Positions (direct):
Sc: 0.000 0.500 0.000
As: 0.000 0.000 0.000
Os: 0.500 0.500 0.500
Ti: 0.000 0.000 0.500
Ti: 0.500 0.000 0.000


[2]
VASP calculation (GGA-PBE) on a relaxed structure of Tc2C.

## Properties
The total energy comes out at -9.502 eV per atom. As for the magnetization: 0.000 μB per atom. Its volume is 11.3 A^3/atom. The value obtained for the energy relative to the elements is 11.154 kcal/mol of atoms. Its crystal system is tetragonal. Its energy above the lowest structure with this stoichiometry is 0.409 eV per atom. As for the space-group type: I4/mcm.

Cell: 4.450 4.450 4.450 Å, 108.36 108.36 111.71°
Positions (direct):
Tc: 0.179 0.321 0.500
Tc: 0.821 0.679 0.500
Tc: 0.679 0.179 0.858
Tc: 0.321 0.821 0.142
C: 0.750 0.750 0.000
C: 0.250 0.250 0.000


[3]
VASP calculation (GGA-PBE) on a relaxed structure of Np3Pa2Se8.

## Properties
The total energy comes out at -7.658 eV per atom. As for the magnetization: 0.183 μB per atom. Its volume is 30.0 A^3/atom. Its crystal system is monoclinic. As for the raw formation energy: -1066 meV/atom. Its energy above the lowest structure with this stoichiometry is 0.047 eV per atom. As for the space-group type: C2/m.

Cell: 6.931 8.127 8.341 Å, 119.15 105.58 90.00°
Positions (direct):
Np: 0.500 0.000 0.000
Np: 0.000 0.254 0.000
Np: 0.000 0.746 0.000
Pa: 0.331 0.251 0.503
Pa: 0.669 0.749 0.497
Se: 0.885 0.613 0.227
Se: 0.115 0.387 0.773
Se: 0.924 0.125 0.249
Se: 0.076 0.875 0.751
Se: 0.586 0.627 0.749
Se: 0.586 0.122 0.749
Se: 0.414 0.878 0.251
Se: 0.414 0.373 0.251


[4]
VASP calculation (GGA-PBE) on a relaxed structure of PaGa3Pt3.

## Properties
The total energy comes out at -5.887 eV per atom. As for the magnetization: 0.000 μB per atom. Its volume is 18.3 A^3/atom. The value obtained for the energy relative to the elements is -14.858 kcal/mol of atoms. Its crystal system is trigonal. Its energy above the lowest structure with this stoichiometry is 0.000 eV per atom. As for the space-group type: R-3.

Cell: 6.901 6.901 7.389 Å, 62.16 62.16 60.00°
Positions (direct):
Pa: 0.339 0.339 0.982
Pa: 0.661 0.661 0.018
Ga: 0.540 0.742 0.621
Ga: 0.742 0.097 0.621
Ga: 0.097 0.540 0.621
Ga: 0.903 0.460 0.379
Ga: 0.258 0.903 0.379
Ga: 0.460 0.258 0.379
Pt: 0.186 0.690 0.200
Pt: 0.923 0.186 0.200
Pt: 0.690 0.923 0.200
Pt: 0.310 0.077 0.800
Pt: 0.077 0.814 0.800
Pt: 0.814 0.310 0.800


- What is the formula in the third record?
  Np3Pa2Se8


What did the second record say?
VASP calculation (GGA-PBE) on a relaxed structure of Tc2C.

## Properties
The total energy comes out at -9.502 eV per atom. As for the magnetization: 0.000 μB per atom. Its volume is 11.3 A^3/atom. The value obtained for the energy relative to the elements is 11.154 kcal/mol of atoms. Its crystal system is tetragonal. Its energy above the lowest structure with this stoichiometry is 0.409 eV per atom. As for the space-group type: I4/mcm.

Cell: 4.450 4.450 4.450 Å, 108.36 108.36 111.71°
Positions (direct):
Tc: 0.179 0.321 0.500
Tc: 0.821 0.679 0.500
Tc: 0.679 0.179 0.858
Tc: 0.321 0.821 0.142
C: 0.750 0.750 0.000
C: 0.250 0.250 0.000


- What is the formula in the fourth record?
  PaGa3Pt3